[1]
# SrMgTl4 | the Alexandria database | PBE-GGA | optimized geometry
data_SrMgTl4
_chemical_formula_sum 'Sr1 Mg1 Tl4'
_symmetry_space_group_name_H-M 'P 1'
_symmetry_Int_Tables_number 1
_cell_length_a 4.192
_cell_length_b 6.132
_cell_length_c 8.323
_cell_angle_alpha 104.71
_cell_angle_beta 75.42
_cell_angle_gamma 70.01
loop_
_symmetry_equiv_pos_as_xyz
'x,y,z'
loop_
_atom_site_label
_atom_site_type_symbol
_atom_site_fract_x
_atom_site_fract_y
_atom_site_fract_z
_atom_site_occupancy
Sr1 Sr 0.000 0.000 0.000 1
Mg1 Mg 0.500 0.500 0.500 1
Tl1 Tl 0.862 0.473 0.802 1
Tl2 Tl 0.316 0.019 0.350 1
Tl3 Tl 0.138 0.527 0.198 1
Tl4 Tl 0.684 0.981 0.650 1
# Formation energy from the elements: -150 meV/atom
# Total magnetic moment: 0.0 Bohr magnetons per cell
# ΔE to the lowest computed polymorph: 0.0000 eV/atom
# Symmetry: C2/m
# Calculated volume: 180 Å³/f.u.
# E: -2.27 eV/atom


[2]
# Sr6Mg2Tl | the Alexandria database | PBE-GGA | optimized geometry
data_Sr6Mg2Tl
_chemical_formula_sum 'Sr6 Mg2 Tl1'
_symmetry_space_group_name_H-M 'P 1'
_symmetry_Int_Tables_number 1
_cell_length_a 5.883
_cell_length_b 7.843
_cell_length_c 9.295
_cell_angle_alpha 83.18
_cell_angle_beta 71.55
_cell_angle_gamma 67.97
loop_
_symmetry_equiv_pos_as_xyz
'x,y,z'
loop_
_atom_site_label
_atom_site_type_symbol
_atom_site_fract_x
_atom_site_fract_y
_atom_site_fract_z
_atom_site_occupancy
Sr1 Sr 0.979 0.215 0.826 1
Sr2 Sr 0.305 0.215 0.174 1
Sr3 Sr 0.695 0.785 0.826 1
Sr4 Sr 0.363 0.774 0.500 1
Sr5 Sr 0.637 0.226 0.500 1
Sr6 Sr 0.021 0.785 0.174 1
Mg1 Mg 0.327 0.500 0.845 1
Mg2 Mg 0.673 0.500 0.155 1
Tl1 Tl 0.000 0.500 0.500 1
# Formation energy from the elements: -129 meV/atom
# Total magnetic moment: 0.0 Bohr magnetons per cell
# Symmetry: Fmmm
# Calculated volume: 377 Å³/f.u.
# E: -1.87 eV/atom


Here are the calculated D(E_F) numbers, same order: 0.491 0.902 (states/eV per atom).